The following is a DFT calculation (GGA-PBE) of crystalline Cs2LiSbCl6 at its relaxed geometry.

Summary:
The value obtained for the uncorrected formation energy is -15.48 eV/f.u. For the total DFT energy (no corrections), the calculation gives -34.31 eV per cell. Its crystal system is cubic.

Cell: 7.5411 7.5411 7.5411 Å, 60.00 60.00 60.00°
Positions (direct):
1 Cs 0.2500 0.2500 0.2500
2 Cs 0.7500 0.7500 0.7500
3 Li 0.0000 0.0000 0.0000
4 Sb 0.5000 0.5000 0.5000
5 Cl 0.2492 0.2492 0.7508
6 Cl 0.2492 0.7508 0.2492
7 Cl 0.2492 0.7508 0.7508
8 Cl 0.7508 0.2492 0.2492
9 Cl 0.7508 0.2492 0.7508
10 Cl 0.7508 0.7508 0.2492

=====

The following is a DFT calculation (GGA-PBE) of crystalline Ba3PtW at its relaxed geometry.

Summary:
Its energy above the most stable polymorph in this dataset is 0.0 meV/atom. For the total DFT energy (no corrections), the calculation gives -21.14 eV per cell. The calculation puts the formation energy from the elements at 0.72 eV/atom. Its crystal system is cubic.

Cell: 6.1009 6.1009 6.1009 Å, 90.00 90.00 90.00°
Positions (direct):
1 Ba 0.0000 0.0000 0.5000
2 Ba 0.0000 0.5000 0.0000
3 Ba 0.5000 0.0000 0.0000
4 Pt 0.0000 0.0000 0.0000
5 W 0.5000 0.5000 0.5000

=====

The following is a DFT calculation (GGA-PBE) of crystalline KRb3H4 at its relaxed geometry.

Summary:
For the total DFT energy (no corrections), the calculation gives -18.83 eV per cell. Its crystal system is cubic.

Cell: 5.9109 5.9109 5.9109 Å, 90.00 90.00 90.00°
Positions (direct):
1 K 0.0000 0.0000 0.0000
2 Rb 0.0000 0.5000 0.5000
3 Rb 0.5000 0.0000 0.5000
4 Rb 0.5000 0.5000 0.0000
5 H 0.0000 0.0000 0.5000
6 H 0.0000 0.5000 0.0000
7 H 0.5000 0.0000 0.0000
8 H 0.5000 0.5000 0.5000

=====

The following is a DFT calculation (GGA-PBE) of crystalline Li2ZrAl at its relaxed geometry.

Summary:
For the total DFT energy (no corrections), the calculation gives -15.71 eV per cell. The calculation puts the formation energy from the elements at 0.10 eV/atom. Its crystal system is trigonal.

Cell: 10.2744 10.2744 10.2744 Å, 16.42 16.42 16.42°
Positions (direct):
1 Li 0.2424 0.2424 0.2424
2 Li 0.7576 0.7576 0.7576
3 Zr 0.0000 0.0000 0.0000
4 Al 0.5000 0.5000 0.5000